(1)
Entry from Alexandria via LeMat-Bulk: crystalline RbSi3Pd at its relaxed geometry (PBE-GGA).

As for the crystal system: cubic. The formation energy (no corrections) comes out at 2.43 eV/atom. The energy above the most stable polymorph in this dataset comes out at 180.0 kJ per mole of atoms. For the total energy, the calculation gives -2.056 eV/atom.

```
data_RbSi3Pd
_chemical_formula_sum 'Rb1 Si3 Pd1'
_symmetry_space_group_name_H-M 'P m -3 m'
_symmetry_Int_Tables_number 221
_symmetry_space_group_name_Hall '-P 4 2 3'
_cell_length_a 5.310
_cell_length_b 5.310
_cell_length_c 5.310
_cell_angle_alpha 90.00
_cell_angle_beta 90.00
_cell_angle_gamma 90.00
loop_
_atom_site_label
_atom_site_fract_x
_atom_site_fract_y
_atom_site_fract_z
_atom_site_occupancy
Rb1 0.000 0.000 0.000 1
Si1 0.000 0.000 0.500 1
Pd1 0.500 0.500 0.500 1
```


(2)
Entry from Alexandria via LeMat-Bulk: crystalline Rb2Si2Pd at its relaxed geometry (PBE-GGA).

As for the crystal system: tetragonal. The formation energy (no corrections) comes out at 0.05 eV/atom. The energy above the most stable polymorph in this dataset comes out at 0.0 kJ per mole of atoms. For the total energy, the calculation gives -3.541 eV/atom.

```
data_Rb2Si2Pd
_chemical_formula_sum 'Rb4 Si4 Pd2'
_symmetry_space_group_name_H-M 'P 4/m b m'
_symmetry_Int_Tables_number 127
_symmetry_space_group_name_Hall '-P 4 2ab'
_cell_length_a 6.561
_cell_length_b 6.561
_cell_length_c 5.836
_cell_angle_alpha 90.00
_cell_angle_beta 90.00
_cell_angle_gamma 90.00
loop_
_atom_site_label
_atom_site_fract_x
_atom_site_fract_y
_atom_site_fract_z
_atom_site_occupancy
Rb1 0.191 0.309 0.000 1
Si1 0.127 0.627 0.500 1
Pd1 0.000 0.000 0.500 1
```


(3)
Entry from Alexandria via LeMat-Bulk: crystalline RbSi2Pd at its relaxed geometry (PBE-GGA).

As for the crystal system: trigonal. The formation energy (no corrections) comes out at 0.01 eV/atom. The energy above the most stable polymorph in this dataset comes out at 0.9 kJ per mole of atoms. For the total energy, the calculation gives -4.241 eV/atom.

```
data_RbSi2Pd
_chemical_formula_sum 'Rb3 Si6 Pd3'
_symmetry_space_group_name_H-M 'R -3 m'
_symmetry_Int_Tables_number 166
_symmetry_space_group_name_Hall '-R 3 2"'
_cell_length_a 4.1746
_cell_length_b 4.1746
_cell_length_c 23.4110
_cell_angle_alpha 90.00
_cell_angle_beta 90.00
_cell_angle_gamma 120.00
loop_
_atom_site_label
_atom_site_fract_x
_atom_site_fract_y
_atom_site_fract_z
_atom_site_occupancy
Rb1 0.0000 0.0000 0.0000 1
Si1 0.0000 0.0000 0.1413 1
Pd1 0.0000 0.0000 0.5000 1
```


(4)
Entry from Alexandria via LeMat-Bulk: crystalline RbSi2Pd at its relaxed geometry (PBE-GGA).

As for the crystal system: tetragonal. The formation energy (no corrections) comes out at 0.00 eV/atom. The energy above the most stable polymorph in this dataset comes out at 0.0 kJ per mole of atoms. For the total energy, the calculation gives -4.249 eV/atom.

```
data_RbSi2Pd
_chemical_formula_sum 'Rb1 Si2 Pd1'
_symmetry_space_group_name_H-M 'P 4/m m m'
_symmetry_Int_Tables_number 123
_symmetry_space_group_name_Hall '-P 4 2'
_cell_length_a 3.338
_cell_length_b 3.338
_cell_length_c 7.805
_cell_angle_alpha 90.00
_cell_angle_beta 90.00
_cell_angle_gamma 90.00
loop_
_atom_site_label
_atom_site_fract_x
_atom_site_fract_y
_atom_site_fract_z
_atom_site_occupancy
Rb1 0.000 0.000 0.000 1
Si1 0.500 0.500 0.342 1
Pd1 0.000 0.000 0.500 1
```


(5)
Entry from Alexandria via LeMat-Bulk: crystalline RbSi2Pd5 at its relaxed geometry (PBE-GGA).

As for the crystal system: orthorhombic. The formation energy (no corrections) comes out at -0.47 eV/atom. For the total energy, the calculation gives -5.191 eV/atom.

```
data_RbSi2Pd5
_chemical_formula_sum 'Rb2 Si4 Pd10'
_symmetry_space_group_name_H-M 'I m m m'
_symmetry_Int_Tables_number 71
_symmetry_space_group_name_Hall '-I 2 2'
_cell_length_a 3.901
_cell_length_b 7.084
_cell_length_c 10.707
_cell_angle_alpha 90.00
_cell_angle_beta 90.00
_cell_angle_gamma 90.00
loop_
_atom_site_label
_atom_site_fract_x
_atom_site_fract_y
_atom_site_fract_z
_atom_site_occupancy
Rb1 0.000 0.000 0.000 1
Si1 0.000 0.500 0.224 1
Pd1 0.000 0.195 0.337 1
Pd2 0.000 0.500 0.000 1
```


(6)
Entry from Alexandria via LeMat-Bulk: crystalline Rb2SiPd2 at its relaxed geometry (PBE-GGA).

As for the crystal system: tetragonal. The formation energy (no corrections) comes out at -0.04 eV/atom. For the total energy, the calculation gives -3.584 eV/atom.

```
data_Rb2SiPd2
_chemical_formula_sum 'Rb4 Si2 Pd4'
_symmetry_space_group_name_H-M 'P 4/m b m'
_symmetry_Int_Tables_number 127
_symmetry_space_group_name_Hall '-P 4 2ab'
_cell_length_a 6.499
_cell_length_b 6.499
_cell_length_c 5.893
_cell_angle_alpha 90.00
_cell_angle_beta 90.00
_cell_angle_gamma 90.00
loop_
_atom_site_label
_atom_site_fract_x
_atom_site_fract_y
_atom_site_fract_z
_atom_site_occupancy
Rb1 0.179 0.321 0.000 1
Si1 0.000 0.000 0.500 1
Pd1 0.157 0.657 0.500 1
```


(7)
Entry from Alexandria via LeMat-Bulk: crystalline RbSi2Pd at its relaxed geometry (PBE-GGA).

As for the crystal system: cubic. The formation energy (no corrections) comes out at 0.68 eV/atom. The energy above the most stable polymorph in this dataset comes out at 65.0 kJ per mole of atoms. For the total energy, the calculation gives -3.576 eV/atom.

```
data_RbSi2Pd
_chemical_formula_sum 'Rb4 Si8 Pd4'
_symmetry_space_group_name_H-M 'F m -3 m'
_symmetry_Int_Tables_number 225
_symmetry_space_group_name_Hall '-F 4 2 3'
_cell_length_a 6.833
_cell_length_b 6.833
_cell_length_c 6.833
_cell_angle_alpha 90.00
_cell_angle_beta 90.00
_cell_angle_gamma 90.00
loop_
_atom_site_label
_atom_site_fract_x
_atom_site_fract_y
_atom_site_fract_z
_atom_site_occupancy
Rb1 0.000 0.000 0.000 1
Si1 0.250 0.250 0.250 1
Pd1 0.000 0.000 0.500 1
```


(8)
Entry from Alexandria via LeMat-Bulk: crystalline RbSi2Te8Pd at its relaxed geometry (PBE-GGA).

As for the crystal system: trigonal. The formation energy (no corrections) comes out at -0.12 eV/atom. For the total energy, the calculation gives -3.635 eV/atom.

```
data_RbSi2Te8Pd
_chemical_formula_sum 'Rb3 Si6 Te24 Pd3'
_symmetry_space_group_name_H-M 'R -3'
_symmetry_Int_Tables_number 148
_symmetry_space_group_name_Hall '-R 3'
_cell_length_a 7.1005
_cell_length_b 7.1005
_cell_length_c 25.6652
_cell_angle_alpha 90.00
_cell_angle_beta 90.00
_cell_angle_gamma 120.00
loop_
_atom_site_label
_atom_site_fract_x
_atom_site_fract_y
_atom_site_fract_z
_atom_site_occupancy
Rb1 0.0000 0.0000 0.0000 1
Si1 0.0000 0.0000 0.2570 1
Te1 0.0000 0.0000 0.3567 1
Te2 0.0123 0.3616 0.5493 1
Pd1 0.0000 0.0000 0.5000 1
```


(9)
Entry from Alexandria via LeMat-Bulk: crystalline Rb2SiTe4Pd at its relaxed geometry (PBE-GGA).

As for the crystal system: orthorhombic. The formation energy (no corrections) comes out at -0.50 eV/atom. For the total energy, the calculation gives -3.640 eV/atom.

```
data_Rb2SiTe4Pd
_chemical_formula_sum 'Rb16 Si8 Te32 Pd8'
_symmetry_space_group_name_H-M 'F d d d'
_symmetry_Int_Tables_number 70
_cell_length_a 7.488
_cell_length_b 12.718
_cell_length_c 24.858
_cell_angle_alpha 90.00
_cell_angle_beta 90.00
_cell_angle_gamma 90.00
loop_
_symmetry_equiv_pos_as_xyz
'x,y,z'
'-x,-y,-z'
'-x+1/4,-y+1/4,z'
'x+1/4,y+1/4,-z'
'x,-y+1/4,-z+1/4'
'-x,y+1/4,z+1/4'
'-x+1/4,y,-z+1/4'
'x+1/4,-y,z+1/4'
'x,y+1/2,z+1/2'
'-x,-y+1/2,-z+1/2'
'-x+1/4,-y+3/4,z+1/2'
'x+1/4,y+3/4,-z+1/2'
'x,-y+3/4,-z+3/4'
'-x,y+3/4,z+3/4'
'-x+1/4,y+1/2,-z+3/4'
'x+1/4,-y+1/2,z+3/4'
'x+1/2,y,z+1/2'
'-x+1/2,-y,-z+1/2'
'-x+3/4,-y+1/4,z+1/2'
'x+3/4,y+1/4,-z+1/2'
'x+1/2,-y+1/4,-z+3/4'
'-x+1/2,y+1/4,z+3/4'
'-x+3/4,y,-z+3/4'
'x+3/4,-y,z+3/4'
'x+1/2,y+1/2,z'
'-x+1/2,-y+1/2,-z'
'-x+3/4,-y+3/4,z'
'x+3/4,y+3/4,-z'
'x+1/2,-y+3/4,-z+1/4'
'-x+1/2,y+3/4,z+1/4'
'-x+3/4,y+1/2,-z+1/4'
'x+3/4,-y+1/2,z+1/4'
loop_
_atom_site_label
_atom_site_fract_x
_atom_site_fract_y
_atom_site_fract_z
_atom_site_occupancy
Rb1 0.125 0.125 0.314 1
Si1 0.125 0.125 0.625 1
Te1 0.113 0.301 0.812 1
Pd1 0.125 0.125 0.125 1
```


(10)
Entry from Alexandria via LeMat-Bulk: crystalline RbSmPd4 at its relaxed geometry (PBE-GGA).

As for the crystal system: cubic. Its formation enthalpy at 0 K is -0.34 eV/atom. For the total energy, the calculation gives -4.750 eV/atom.

```
data_RbSmPd4
_chemical_formula_sum 'Rb4 Sm4 Pd16'
_symmetry_space_group_name_H-M 'F -4 3 m'
_symmetry_Int_Tables_number 216
_symmetry_space_group_name_Hall 'F -4 2 3'
_cell_length_a 7.877
_cell_length_b 7.877
_cell_length_c 7.877
_cell_angle_alpha 90.00
_cell_angle_beta 90.00
_cell_angle_gamma 90.00
loop_
_atom_site_label
_atom_site_fract_x
_atom_site_fract_y
_atom_site_fract_z
_atom_site_occupancy
Rb1 0.000 0.000 0.000 1
Sm1 0.250 0.250 0.750 1
Pd1 0.124 0.124 0.376 1
```